The following is a GGA-PBE calculation of a relaxed TiV2Ag2S6 crystal, from the Alexandria database.

POSCAR file:
```
TiV2Ag2S6
1.0
-4.3858 3.3297 2.1546
0.1272 -1.4365 -5.7345
-1.2068 -7.3677 3.7608
Ag S V Ti
2 6 2 1
Direct
0.6788 0.3212 0.0000 Ag
0.3212 0.6788 0.0000 Ag
0.2051 0.2051 0.2998 S
0.8909 0.5440 0.3198 S
0.1091 0.4560 0.6802 S
0.4560 0.1091 0.6802 S
0.7949 0.7949 0.7002 S
0.5440 0.8909 0.3198 S
0.6450 0.3550 0.5000 V
0.3550 0.6450 0.5000 V
0.0000 0.0000 0.5000 Ti
```

Calculated values
ΔE_f (raw) ... -776 meV per atom
DOS(E_F) ... 0.47 states/eV per atom
Space-group type ... C2/m (12)
Total magnetization ... 0.296 μB per atom
Theoretical density ... 4.1 g/cm³